# MoPd2Au2, optimized geometry, DFT PBE
data_MoPd2Au2
_chemical_formula_sum 'Mo2 Pd4 Au4'
_cell_length_a 3.682
_cell_length_b 3.682
_cell_length_c 13.610
_cell_angle_alpha 90.00
_cell_angle_beta 90.00
_cell_angle_gamma 90.00
_space_group_name_H-M_alt 'P 1'
_space_group_IT_number 1
_space_group_name_Hall 'P 1'
loop_
_atom_site_label
_atom_site_type_symbol
_atom_site_fract_x
_atom_site_fract_y
_atom_site_fract_z
Mo1 Mo 0.000 0.000 0.000
Mo2 Mo 0.500 0.500 0.500
Pd1 Pd 0.000 0.500 0.250
Pd2 Pd 0.000 0.500 0.750
Pd3 Pd 0.500 0.000 0.250
Pd4 Pd 0.500 0.000 0.750
Au1 Au 0.000 0.000 0.402
Au2 Au 0.000 0.000 0.598
Au3 Au 0.500 0.500 0.098
Au4 Au 0.500 0.500 0.902
# Polymorph energy (0 for the lowest one) = 572 meV/atom



# In12Hg3I5, optimized geometry, DFT PBE
data_In12Hg3I5
_chemical_formula_sum 'In48 Hg12 I20'
_cell_length_a 16.180
_cell_length_b 16.180
_cell_length_c 16.180
_cell_angle_alpha 109.47
_cell_angle_beta 109.47
_cell_angle_gamma 109.47
_space_group_name_H-M_alt 'P 1'
_space_group_IT_number 1
_space_group_name_Hall 'P 1'
loop_
_atom_site_label
_atom_site_type_symbol
_atom_site_fract_x
_atom_site_fract_y
_atom_site_fract_z
In1 In 0.061 0.641 0.399
In2 In 0.061 0.920 0.662
In3 In 0.080 0.242 0.141
In4 In 0.080 0.338 0.939
In5 In 0.101 0.742 0.662
In6 In 0.101 0.859 0.439
In7 In 0.141 0.080 0.242
In8 In 0.141 0.561 0.899
In9 In 0.162 0.242 0.601
In10 In 0.162 0.420 0.561
In11 In 0.242 0.141 0.080
In12 In 0.242 0.601 0.162
In13 In 0.258 0.338 0.899
In14 In 0.258 0.420 0.359
In15 In 0.338 0.899 0.258
In16 In 0.338 0.939 0.080
In17 In 0.359 0.258 0.420
In18 In 0.359 0.601 0.939
In19 In 0.399 0.061 0.641
In20 In 0.399 0.838 0.758
In21 In 0.420 0.359 0.258
In22 In 0.420 0.561 0.162
In23 In 0.439 0.101 0.859
In24 In 0.439 0.838 0.580
In25 In 0.561 0.162 0.420
In26 In 0.561 0.899 0.141
In27 In 0.580 0.439 0.838
In28 In 0.580 0.641 0.742
In29 In 0.601 0.162 0.242
In30 In 0.601 0.939 0.359
In31 In 0.641 0.399 0.061
In32 In 0.641 0.742 0.580
In33 In 0.662 0.061 0.920
In34 In 0.662 0.101 0.742
In35 In 0.742 0.580 0.641
In36 In 0.742 0.662 0.101
In37 In 0.758 0.399 0.838
In38 In 0.758 0.859 0.920
In39 In 0.838 0.580 0.439
In40 In 0.838 0.758 0.399
In41 In 0.859 0.439 0.101
In42 In 0.859 0.920 0.758
In43 In 0.899 0.141 0.561
In44 In 0.899 0.258 0.338
In45 In 0.920 0.662 0.061
In46 In 0.920 0.758 0.859
In47 In 0.939 0.080 0.338
In48 In 0.939 0.359 0.601
Hg1 Hg 0.125 0.250 0.375
Hg2 Hg 0.125 0.375 0.750
Hg3 Hg 0.250 0.375 0.125
Hg4 Hg 0.250 0.875 0.625
Hg5 Hg 0.375 0.125 0.250
Hg6 Hg 0.375 0.750 0.125
Hg7 Hg 0.625 0.250 0.875
Hg8 Hg 0.625 0.875 0.750
Hg9 Hg 0.750 0.125 0.375
Hg10 Hg 0.750 0.625 0.875
Hg11 Hg 0.875 0.625 0.250
Hg12 Hg 0.875 0.750 0.625
I1 I 0.000 0.000 0.000
I2 I 0.000 0.000 0.500
I3 I 0.000 0.500 0.000
I4 I 0.000 0.500 0.500
I5 I 0.125 0.750 0.875
I6 I 0.125 0.875 0.250
I7 I 0.250 0.125 0.875
I8 I 0.250 0.625 0.375
I9 I 0.375 0.250 0.625
I10 I 0.375 0.625 0.750
I11 I 0.500 0.000 0.000
I12 I 0.500 0.000 0.500
I13 I 0.500 0.500 0.000
I14 I 0.500 0.500 0.500
I15 I 0.625 0.375 0.250
I16 I 0.625 0.750 0.375
I17 I 0.750 0.375 0.625
I18 I 0.750 0.875 0.125
I19 I 0.875 0.125 0.750
I20 I 0.875 0.250 0.125
# E_form (uncorrected) = 0.7 eV/f.u.



# SrTl2Fe, optimized geometry, DFT PBE
data_SrTl2Fe
_chemical_formula_sum 'Sr1 Tl2 Fe1'
_cell_length_a 3.623
_cell_length_b 3.623
_cell_length_c 7.650
_cell_angle_alpha 90.00
_cell_angle_beta 90.00
_cell_angle_gamma 90.00
_space_group_name_H-M_alt 'P 1'
_space_group_IT_number 1
_space_group_name_Hall 'P 1'
loop_
_atom_site_label
_atom_site_type_symbol
_atom_site_fract_x
_atom_site_fract_y
_atom_site_fract_z
Sr1 Sr 0.000 0.000 0.000
Tl1 Tl 0.500 0.500 0.301
Tl2 Tl 0.500 0.500 0.699
Fe1 Fe 0.000 0.000 0.500
# E = -3.52 eV per atom



# LaInSe, optimized geometry, DFT PBE
data_LaInSe
_chemical_formula_sum 'La4 In4 Se4'
_cell_length_a 7.319
_cell_length_b 7.319
_cell_length_c 7.319
_cell_angle_alpha 90.00
_cell_angle_beta 90.00
_cell_angle_gamma 90.00
_space_group_name_H-M_alt 'P 1'
_space_group_IT_number 1
_space_group_name_Hall 'P 1'
loop_
_atom_site_label
_atom_site_type_symbol
_atom_site_fract_x
_atom_site_fract_y
_atom_site_fract_z
La1 La 0.000 0.000 0.000
La2 La 0.000 0.500 0.500
La3 La 0.500 0.000 0.500
La4 La 0.500 0.500 0.000
In1 In 0.250 0.250 0.250
In2 In 0.250 0.750 0.750
In3 In 0.750 0.250 0.750
In4 In 0.750 0.750 0.250
Se1 Se 0.250 0.250 0.750
Se2 Se 0.250 0.750 0.250
Se3 Se 0.750 0.250 0.250
Se4 Se 0.750 0.750 0.750
# Polymorph energy (0 for the lowest one) = 623 meV/atom
# E_form (uncorrected) = -1.7 eV/f.u.



# KLiRhO2, optimized geometry, DFT PBE
data_KLiRhO2
_chemical_formula_sum 'K1 Li1 Rh1 O2'
_cell_length_a 3.285
_cell_length_b 3.752
_cell_length_c 6.273
_cell_angle_alpha 90.00
_cell_angle_beta 90.00
_cell_angle_gamma 90.00
_space_group_name_H-M_alt 'P 1'
_space_group_IT_number 1
_space_group_name_Hall 'P 1'
loop_
_atom_site_label
_atom_site_type_symbol
_atom_site_fract_x
_atom_site_fract_y
_atom_site_fract_z
K1 K 0.000 0.000 0.000
Li1 Li 0.000 0.000 0.500
Rh1 Rh 0.500 0.500 0.500
O1 O 0.000 0.500 0.304
O2 O 0.000 0.500 0.696
# E_form (uncorrected) = -5.1 eV/f.u.



# Dy2TmGe3, optimized geometry, DFT PBE
data_Dy2TmGe3
_chemical_formula_sum 'Dy4 Tm2 Ge6'
_cell_length_a 4.113
_cell_length_b 5.836
_cell_length_c 12.415
_cell_angle_alpha 90.00
_cell_angle_beta 90.00
_cell_angle_gamma 90.00
_space_group_name_H-M_alt 'P 1'
_space_group_IT_number 1
_space_group_name_Hall 'P 1'
loop_
_atom_site_label
_atom_site_type_symbol
_atom_site_fract_x
_atom_site_fract_y
_atom_site_fract_z
Dy1 Dy 0.000 0.000 0.167
Dy2 Dy 0.000 0.000 0.833
Dy3 Dy 0.500 0.500 0.333
Dy4 Dy 0.500 0.500 0.667
Tm1 Tm 0.000 0.000 0.500
Tm2 Tm 0.500 0.500 0.000
Ge1 Ge 0.000 0.500 0.165
Ge2 Ge 0.000 0.500 0.500
Ge3 Ge 0.000 0.500 0.835
Ge4 Ge 0.500 0.000 0.000
Ge5 Ge 0.500 0.000 0.335
Ge6 Ge 0.500 0.000 0.665
# E = -5.23 eV per atom



# SrCePr2Se4, optimized geometry, DFT PBE
data_SrCePr2Se4
_chemical_formula_sum 'Sr1 Ce1 Pr2 Se4'
_cell_length_a 7.431
_cell_length_b 4.267
_cell_length_c 7.449
_cell_angle_alpha 90.00
_cell_angle_beta 109.20
_cell_angle_gamma 90.00
_space_group_name_H-M_alt 'P 1'
_space_group_IT_number 1
_space_group_name_Hall 'P 1'
loop_
_atom_site_label
_atom_site_type_symbol
_atom_site_fract_x
_atom_site_fract_y
_atom_site_fract_z
Sr1 Sr 0.000 0.000 0.000
Ce1 Ce 0.000 0.500 0.500
Pr1 Pr 0.500 0.000 0.500
Pr2 Pr 0.500 0.500 0.000
Se1 Se 0.248 0.000 0.746
Se2 Se 0.251 0.500 0.254
Se3 Se 0.749 0.500 0.746
Se4 Se 0.752 0.000 0.254
# E_form (uncorrected) = -14.9 eV/f.u.



# NaHg6Sb, optimized geometry, DFT PBE
data_NaHg6Sb
_chemical_formula_sum 'Na2 Hg12 Sb2'
_cell_length_a 5.181
_cell_length_b 5.181
_cell_length_c 15.571
_cell_angle_alpha 90.00
_cell_angle_beta 90.00
_cell_angle_gamma 90.00
_space_group_name_H-M_alt 'P 1'
_space_group_IT_number 1
_space_group_name_Hall 'P 1'
loop_
_atom_site_label
_atom_site_type_symbol
_atom_site_fract_x
_atom_site_fract_y
_atom_site_fract_z
Na1 Na 0.000 0.000 0.000
Na2 Na 0.500 0.500 0.500
Hg1 Hg 0.000 0.000 0.239
Hg2 Hg 0.000 0.000 0.761
Hg3 Hg 0.000 0.500 0.125
Hg4 Hg 0.000 0.500 0.375
Hg5 Hg 0.000 0.500 0.625
Hg6 Hg 0.000 0.500 0.875
Hg7 Hg 0.500 0.000 0.125
Hg8 Hg 0.500 0.000 0.375
Hg9 Hg 0.500 0.000 0.625
Hg10 Hg 0.500 0.000 0.875
Hg11 Hg 0.500 0.500 0.261
Hg12 Hg 0.500 0.500 0.739
Sb1 Sb 0.000 0.000 0.500
Sb2 Sb 0.500 0.500 0.000
# E_form (uncorrected) = -0.3 eV/f.u.